(1)
Computed, not measured: an optimized crystal structure of Ac12Nd6Dy at the PBE level of DFT.

Cell and atoms, written as POSCAR:
```
Ac12Nd6Dy
1.0
8.4350 4.8699 3.1765
-8.4350 4.8699 3.1765
0.0000 -9.7399 3.1765
Ac Nd Dy
12 6 1
Direct
0.0654 0.5837 0.3764 Ac
0.1017 0.1546 0.7382 Ac
0.1546 0.7382 0.1017 Ac
0.2618 0.8983 0.8454 Ac
0.3764 0.0654 0.5837 Ac
0.4163 0.6236 0.9346 Ac
0.5837 0.3764 0.0654 Ac
0.6236 0.9346 0.4163 Ac
0.7382 0.1017 0.1546 Ac
0.8454 0.2618 0.8983 Ac
0.8983 0.8454 0.2618 Ac
0.9346 0.4163 0.6236 Ac
0.2150 0.3172 0.4674 Nd
0.3172 0.4674 0.2150 Nd
0.4674 0.2150 0.3172 Nd
0.5326 0.7850 0.6828 Nd
0.6828 0.5326 0.7850 Nd
0.7850 0.6828 0.5326 Nd
0.0000 0.0000 0.0000 Dy
```

Results
Calculated volume, Å³/cell: 782.9
Uncorrected energy, eV per cell: -81.8
Formation enthalpy at 0 K, eV per atom: 0.039
Total magnetization, μB per cell: 0.00
Symmetry: R-3 (148)

---

(2)
Computed, not measured: an optimized crystal structure of Ac3Pm2Y4 at the PBE level of DFT.

Cell and atoms, written as POSCAR:
```
Ac3Pm2Y4
1.0
9.5860 -1.8860 0.0000
9.5860 1.8860 0.0000
-0.2422 0.0000 9.1272
Ac Pm Y
3 2 4
Direct
0.0000 0.0000 0.0000 Ac
0.1124 0.1124 0.6640 Ac
0.8876 0.8876 0.3360 Ac
0.3299 0.3299 0.9990 Pm
0.6701 0.6701 0.0010 Pm
0.2197 0.2197 0.3340 Y
0.4408 0.4408 0.6687 Y
0.5592 0.5592 0.3313 Y
0.7803 0.7803 0.6660 Y
```

Results
Calculated volume, Å³/cell: 330.0
Uncorrected energy, eV per cell: -47.3
Formation enthalpy at 0 K, eV per atom: 0.046
Total magnetization, μB per cell: 0.00
Symmetry: C2/m (12)

---

(3)
Computed, not measured: an optimized crystal structure of Ba2SnHgS4 at the PBE level of DFT.

Cell and atoms, written as POSCAR:
```
Ba2SnHgS4
1.0
7.3866 0.0000 0.0000
0.0000 4.3056 0.0000
-2.8742 0.0000 7.1849
Ba Sn Hg S
2 1 1 4
Direct
0.0000 0.0000 0.0000 Ba
0.0000 0.5000 0.5000 Ba
0.5000 0.0000 0.5000 Sn
0.5000 0.5000 0.0000 Hg
0.2617 0.5000 0.2646 S
0.2882 0.0000 0.7719 S
0.7118 0.0000 0.2281 S
0.7383 0.5000 0.7354 S
```

Results
Calculated volume, Å³/cell: 228.5
Uncorrected energy, eV per cell: -33.1
Formation energy without anion corrections, eV per atom: -1.053
Total magnetization, μB per cell: 0.00
Symmetry: P2/m (10)

---

(4)
Computed, not measured: an optimized crystal structure of PrO2F3 at the PBE level of DFT.

Cell and atoms, written as POSCAR:
```
PrO2F3
1.0
5.7024 -3.0264 0.0000
5.7024 3.0264 0.0000
-2.2687 0.0000 5.1129
Pr O F
2 4 6
Direct
0.2238 0.7762 0.7500 Pr
0.7762 0.2238 0.2500 Pr
0.3339 0.3476 0.8588 O
0.3476 0.3339 0.3588 O
0.6524 0.6661 0.6412 O
0.6661 0.6524 0.1412 O
0.1242 0.1275 0.6030 F
0.1275 0.1242 0.1030 F
0.3665 0.6335 0.2500 F
0.6335 0.3665 0.7500 F
0.8725 0.8758 0.8970 F
0.8758 0.8725 0.3970 F
```

Results
Calculated volume, Å³/cell: 176.5
Uncorrected energy, eV per cell: -60.7
Formation energy without anion corrections, eV per atom: -1.673
Total magnetization, μB per cell: 8.00
Symmetry: C2/c (15)

---

(5)
Computed, not measured: an optimized crystal structure of SmPa3Os2 at the PBE level of DFT.

Cell and atoms, written as POSCAR:
```
SmPa3Os2
1.0
8.6908 -2.4610 0.0000
8.6908 2.4610 0.0000
-3.4968 0.0000 7.0072
Sm Pa Os
2 6 4
Direct
0.1706 0.1706 0.0621 Sm
0.8294 0.8294 0.9379 Sm
0.0345 0.0345 0.3194 Pa
0.3004 0.3004 0.5572 Pa
0.4036 0.4036 0.3379 Pa
0.5964 0.5964 0.6621 Pa
0.6996 0.6996 0.4428 Pa
0.9655 0.9655 0.6806 Pa
0.1755 0.1755 0.6835 Os
0.4762 0.4762 0.8095 Os
0.5238 0.5238 0.1905 Os
0.8245 0.8245 0.3165 Os
```

Results
Calculated volume, Å³/cell: 299.7
Uncorrected energy, eV per cell: -112.5
Formation enthalpy at 0 K, eV per atom: -0.097
Total magnetization, μB per cell: 0.00
Symmetry: C2/m (12)

---

(6)
Computed, not measured: an optimized crystal structure of Sr2LiAs4Pd3 at the PBE level of DFT.

Cell and atoms, written as POSCAR:
```
Sr2LiAs4Pd3
1.0
4.4521 0.0000 0.0000
0.0000 4.4521 0.0000
0.0000 0.0000 10.3445
Sr Li As Pd
2 1 4 3
Direct
0.0000 0.5000 0.2474 Sr
0.5000 0.0000 0.7526 Sr
0.5000 0.5000 0.0000 Li
0.0000 0.0000 0.5000 As
0.0000 0.5000 0.8665 As
0.5000 0.0000 0.1335 As
0.5000 0.5000 0.5000 As
0.0000 0.0000 0.0000 Pd
0.0000 0.5000 0.6215 Pd
0.5000 0.0000 0.3785 Pd
```

Results
Calculated volume, Å³/cell: 205.0
Uncorrected energy, eV per cell: -47.4
Formation enthalpy at 0 K, eV per atom: -0.800
Total magnetization, μB per cell: 0.00
Symmetry: P-4m2 (115)

---

(7)
Computed, not measured: an optimized crystal structure of BeCo2Cu at the PBE level of DFT.

Cell and atoms, written as POSCAR:
```
BeCo2Cu
1.0
3.4110 0.0000 0.0000
0.0000 3.4110 0.0000
0.0000 0.0000 3.5929
Be Co Cu
1 2 1
Direct
0.0000 0.0000 0.0000 Be
0.0000 0.5000 0.5000 Co
0.5000 0.0000 0.5000 Co
0.5000 0.5000 0.0000 Cu
```

Results
Calculated volume, Å³/cell: 41.8
Uncorrected energy, eV per cell: -21.8
Formation enthalpy at 0 K, eV per atom: 0.048
Total magnetization, μB per cell: 2.71
Symmetry: P4/mmm (123)

---

(8)
Computed, not measured: an optimized crystal structure of ScAl2H at the PBE level of DFT.

Cell and atoms, written as POSCAR:
```
ScAl2H
1.0
-2.7748 2.7748 3.9209
2.7748 -2.7748 3.9209
2.7748 2.7748 -3.9209
Sc Al H
2 4 2
Direct
0.0000 0.0000 0.0000 Sc
0.7500 0.2500 0.5000 Sc
0.3733 0.6250 0.2483 Al
0.3750 0.6233 0.7483 Al
0.3767 0.1250 0.7517 Al
0.8750 0.6267 0.2517 Al
0.2500 0.7500 0.5000 H
0.5000 0.5000 0.0000 H
```

Results
Calculated volume, Å³/cell: 120.8
Uncorrected energy, eV per cell: -34.6
Offset from the most stable computed form, meV per atom: 0
Total magnetization, μB per cell: 0.00
Symmetry: I-42d (122)